! La4NdDy2Mg, optimized geometry, DFT PBE-GGA; values from VASP
&SYSTEM
  ibrav = 0, nat = 8, ntyp = 4
/
ATOMIC_SPECIES
La 138.91 La.upf
Dy 162.50 Dy.upf
Mg 24.30 Mg.upf
Nd 144.24 Nd.upf
CELL_PARAMETERS angstrom
5.1820 0.0000 0.0000
0.0000 4.9138 1.6495
0.0000 1.7092 11.1825
ATOMIC_POSITIONS angstrom
La 0.0001 4.9476 9.6852
Dy 2.5910 0.8546 5.5912
Dy 0.0000 1.7092 11.1825
La 2.5910 2.4943 8.8544
La 2.5910 4.1287 3.9776
Mg 2.5910 4.1661 12.0072
La 5.1820 1.6754 3.1468
Nd 0.0000 3.3115 6.4160
! magnetic moment: 0.000 μB/f.u.
! crystal system: tetragonal
! energy of formation: 0.005 eV per atom

***

! La2Nd6DyMg, optimized geometry, DFT PBE-GGA; values from VASP
&SYSTEM
  ibrav = 0, nat = 20, ntyp = 4
/
ATOMIC_SPECIES
Nd 144.24 Nd.upf
La 138.91 La.upf
Dy 162.50 Dy.upf
Mg 24.30 Mg.upf
CELL_PARAMETERS angstrom
9.5570 -2.1000 -2.1793
0.5377 8.5829 -1.8370
0.5377 -2.1538 8.5089
ATOMIC_POSITIONS angstrom
Nd 6.5172 1.5067 3.6794
La 5.1020 4.3707 3.5856
Nd 1.7387 4.6710 2.7316
Nd 6.9265 -2.6562 3.4030
La 5.5303 -0.0417 0.9071
Dy 7.7054 -3.6241 6.7735
Nd 4.1151 2.8224 0.8132
La 0.7518 1.9580 1.0816
Mg 2.9269 1.6373 3.8051
Nd 2.1480 4.5491 -1.4386
Nd 9.6770 4.9966 -1.5048
Dy 2.9269 7.9532 -2.2809
Nd 0.9553 -0.6676 5.9974
La 9.8805 2.3711 3.4110
Nd 4.8985 -0.6389 6.0271
Mg 7.7054 2.6918 0.6875
Nd 3.7058 6.9853 1.0896
Nd 8.8936 -0.3419 1.7610
Nd 8.4843 -0.2201 5.9312
Nd 5.7338 4.9680 -1.5345
! magnetic moment: 0.000 μB/f.u.
! crystal system: monoclinic
! energy of formation: 0.099 eV per atom

***

! La2Nd2DyMg5, optimized geometry, DFT PBE-GGA; values from VASP
&SYSTEM
  ibrav = 0, nat = 20, ntyp = 4
/
ATOMIC_SPECIES
Dy 162.50 Dy.upf
Mg 24.30 Mg.upf
Nd 144.24 Nd.upf
La 138.91 La.upf
CELL_PARAMETERS angstrom
5.1690 0.0000 0.0000
0.0000 10.7348 0.0000
0.0000 0.0000 10.7348
ATOMIC_POSITIONS angstrom
Dy 0.0000 5.3674 5.3674
Dy 0.0000 0.0000 0.0000
Mg 2.5845 8.6559 9.9626
Nd 0.0000 4.0365 1.3309
Mg 2.5845 0.7722 8.6559
Mg 2.5845 0.0000 5.3674
La 0.0000 1.8677 3.4997
Mg 2.5845 9.9626 2.0789
La 0.0000 8.8671 7.2351
La 0.0000 7.2351 1.8677
Mg 2.5845 4.5952 3.2885
Nd 0.0000 6.6983 9.4039
La 0.0000 3.4997 8.8671
Nd 0.0000 9.4039 4.0365
Mg 2.5845 7.4463 4.5952
Mg 2.5845 3.2885 6.1396
Mg 2.5845 5.3674 0.0000
Mg 2.5845 2.0789 0.7722
Nd 0.0000 1.3309 6.6983
Mg 2.5845 6.1396 7.4463
! magnetic moment: 0.000 μB/f.u.
! crystal system: tetragonal
! energy of formation: 0.002 eV per atom

***

! La6Nd2DyMg, optimized geometry, DFT PBE-GGA; values from VASP
&SYSTEM
  ibrav = 0, nat = 20, ntyp = 4
/
ATOMIC_SPECIES
La 138.91 La.upf
Dy 162.50 Dy.upf
Mg 24.30 Mg.upf
Nd 144.24 Nd.upf
CELL_PARAMETERS angstrom
-2.9921 5.0796 7.4692
3.3448 -6.5284 4.7920
6.8379 5.1835 -1.7737
ATOMIC_POSITIONS angstrom
La 1.2975 -1.4960 7.7850
La 5.8931 5.2307 2.7025
La 2.0704 -0.0306 10.8103
Dy 2.8420 -4.4362 6.1983
Mg 2.5125 2.0148 7.7403
Mg 4.6780 1.7198 2.7472
Nd 6.4877 0.6558 5.5791
La 7.8990 2.3639 2.1819
La -0.7085 1.3708 8.3056
Dy 4.3485 8.1709 4.2892
Nd 5.2199 3.9608 8.8847
La 2.2740 3.8147 1.7772
Nd 1.9706 -0.2261 1.6028
Nd 0.7028 3.0789 4.9084
La 2.2506 5.4093 7.2651
La 4.2974 3.7268 5.3528
La 4.9166 -0.0800 8.7103
La 5.1201 3.7652 -0.3228
La 2.8931 0.0079 5.1347
La 4.9400 -1.6746 3.2224
! magnetic moment: 0.000 μB/f.u.
! crystal system: monoclinic
! energy of formation: 0.087 eV per atom

***

! La6NdDy2Mg, optimized geometry, DFT PBE-GGA; values from VASP
&SYSTEM
  ibrav = 0, nat = 20, ntyp = 4
/
ATOMIC_SPECIES
La 138.91 La.upf
Dy 162.50 Dy.upf
Nd 144.24 Nd.upf
Mg 24.30 Mg.upf
CELL_PARAMETERS angstrom
9.0154 -2.0990 -2.1783
0.8338 8.6388 -1.0169
0.8338 -1.3364 8.5952
ATOMIC_POSITIONS angstrom
La 1.8246 5.0559 2.8742
Dy 1.2506 1.8184 1.2369
Nd 7.5953 -2.2195 6.2954
La 6.3323 1.6353 4.0698
La 2.8024 3.0554 7.3729
La 4.3507 3.5681 1.3301
Nd 3.0876 7.4228 -0.8955
Dy 4.9247 5.0843 4.6261
Dy 5.7583 0.1191 0.7738
Mg 7.5953 3.0419 1.2256
La 5.9265 5.0734 -1.3329
La 7.3101 6.2051 2.2374
La 7.8806 2.1479 -1.9730
La 9.2642 5.6739 -0.7097
Dy 9.4324 3.3850 4.1631
La 4.7565 0.1300 6.7328
Mg 3.0876 2.1615 4.1744
La 1.4188 -0.4705 6.1096
La 8.8584 0.1475 2.5258
La 3.3729 -1.0018 3.1625
! magnetic moment: 0.000 μB/f.u.
! crystal system: monoclinic
! energy of formation: 0.088 eV per atom

***

! La2Nd5DyMg, optimized geometry, DFT PBE-GGA; values from VASP
&SYSTEM
  ibrav = 0, nat = 18, ntyp = 4
/
ATOMIC_SPECIES
Dy 162.50 Dy.upf
Nd 144.24 Nd.upf
La 138.91 La.upf
Mg 24.30 Mg.upf
CELL_PARAMETERS angstrom
5.6324 0.0000 0.0000
-2.8162 10.1682 0.0000
0.0000 0.0000 10.8507
ATOMIC_POSITIONS angstrom
Dy 0.0000 4.0939 0.0907
Nd 0.0000 0.3006 0.0895
La 0.0000 2.3605 3.2468
Nd 2.8162 9.8677 5.5149
Mg 0.0000 8.2209 5.5097
Nd 0.0000 5.8332 7.6454
Mg 2.8162 1.9474 0.0844
La 2.8162 7.8059 2.3597
Nd 0.0000 7.7199 0.0901
La 0.0000 2.3624 7.7850
Nd 0.0000 10.1651 8.2248
Nd 2.8162 4.3351 2.2201
Nd 0.0000 5.8258 3.3853
Dy 2.8162 6.0744 5.5160
Nd 2.8162 2.4484 5.5154
Nd 2.8162 4.3425 8.8107
Nd 2.8162 0.0032 2.7995
La 2.8162 7.8077 8.6721
! magnetic moment: 0.000 μB/f.u.
! crystal system: orthorhombic
! energy of formation: 0.079 eV per atom

***

! La2Nd6Dy3Mg, optimized geometry, DFT PBE-GGA; values from VASP
&SYSTEM
  ibrav = 0, nat = 12, ntyp = 4
/
ATOMIC_SPECIES
Nd 144.24 Nd.upf
Dy 162.50 Dy.upf
La 138.91 La.upf
Mg 24.30 Mg.upf
CELL_PARAMETERS angstrom
-0.4296 0.1501 6.2627
-4.6235 -2.5356 -3.4092
7.0179 -9.7102 -0.3468
ATOMIC_POSITIONS angstrom
Nd -0.1666 -3.4969 -0.9727
Dy -0.4182 -6.9447 -1.9767
Nd 2.1315 -8.5987 3.4794
Nd -2.0226 -4.2686 2.0624
Dy 2.3830 -5.1509 4.4834
Nd 3.9874 -7.8270 0.4444
La -3.2270 -1.6413 -0.1887
Nd 1.2153 -2.6119 2.2143
Nd 0.7496 -9.4837 0.2925
La -1.8261 -0.7441 3.0422
Dy 0.9824 -6.0478 1.2534
Mg 0.0000 0.0000 0.0000
! magnetic moment: 0.000 μB/f.u.
! crystal system: monoclinic
! energy of formation: 0.009 eV per atom

***

! LaNd4Dy2Mg, optimized geometry, DFT PBE-GGA; values from VASP
&SYSTEM
  ibrav = 0, nat = 8, ntyp = 4
/
ATOMIC_SPECIES
Mg 24.30 Mg.upf
La 138.91 La.upf
Dy 162.50 Dy.upf
Nd 144.24 Nd.upf
CELL_PARAMETERS angstrom
5.9166 0.0005 0.0007
0.0009 9.5957 0.4030
0.0009 3.4388 4.8075
ATOMIC_POSITIONS angstrom
Mg 0.0009 6.5173 2.6052
La 2.9597 8.2370 5.0092
Dy 2.9597 11.3153 2.8071
Nd 2.9592 5.0071 3.6871
Nd 5.9171 3.2837 1.2824
Dy 5.9175 9.5961 0.4038
Nd 2.9593 8.0279 1.5241
Nd 0.0014 9.7513 3.9289
! magnetic moment: 0.000 μB/f.u.
! crystal system: tetragonal
! energy of formation: 0.071 eV per atom